Density functional theory data (PBE-GGA) for an optimized crystal structure of Y5Mg2Os2.

The calculation puts the density of states at the Fermi level at 7.75 states/eV/f.u. The energy of formation from the pure elements comes out at -131.9 meV per atom. The total DFT energy (no corrections) comes out at -6.5729 eV/atom. The value obtained for the total magnetic moment is 0.00 μB/f.u.

The structure belongs to space group Cmce (No. 64); the cell edges are 17.1869, 7.4658 and 7.5678 Å and the angles 90.00°, 90.00° and 90.00°. The inequivalent atoms are Y at (0.0000, 0.0000, 0.0000), Y at (0.1149, 0.1848, 0.3147), Mg at (0.2297, 0.0000, 0.0000) and Os at (0.0000, 0.1141, 0.6177).